Record 1
Below is a relaxed Nd4AgN crystal, with properties calculated at the GGA-PBE level.

Computed properties:
Magnetic moment   0.00 μB per cell
Energy relative to the elements, uncorrected   -8.73 kcal/mol of atoms

Unit cell a=9.380 b=9.857 c=3.784 alpha=90.00 beta=90.00 gamma=90.00
Space group Cmmm (No. 65)
Inequivalent atoms, fractional coordinates:
1 Nd 0.000 0.250 0.000 (multiplicity 4)
2 Nd 0.179 0.000 0.500 (multiplicity 4)
3 Ag 0.000 0.500 0.500 (multiplicity 2)
4 N 0.000 0.000 0.000 (multiplicity 2)


Record 2
Below is a relaxed HfSc2TiN crystal, with properties calculated at the GGA-PBE level.

Computed properties:
Polymorph energy (0 for the lowest one)   62 meV/atom
Magnetic moment   0.29 μB per cell
Energy relative to the elements, uncorrected   -12.79 kcal/mol of atoms

Unit cell a=4.579 b=4.579 c=4.149 alpha=90.00 beta=90.00 gamma=90.00
Space group P4/mmm (No. 123)
Inequivalent atoms, fractional coordinates:
1 Hf 0.000 0.000 0.000 (multiplicity 1)
2 Sc 0.000 0.500 0.500 (multiplicity 2)
3 Ti 0.500 0.500 0.000 (multiplicity 1)
4 N 0.500 0.500 0.500 (multiplicity 1)


Record 3
Below is a relaxed ZnSe crystal, with properties calculated at the GGA-PBE level.

Computed properties:
Magnetic moment   0.00 μB per cell
Energy relative to the elements, uncorrected   -12.54 kcal/mol of atoms

Unit cell a=8.295 b=10.774 c=10.911 alpha=90.00 beta=90.00 gamma=90.00
Space group Fddd (No. 70, origin choice 2)
Inequivalent atoms, fractional coordinates:
1 Zn 0.125 0.125 0.272 (multiplicity 16)
2 Se 0.125 0.306 0.125 (multiplicity 16)


Record 4
Below is a relaxed LiScCr2 crystal, with properties calculated at the GGA-PBE level.

Computed properties:
ΔE_f   16.565 kcal/mol of atoms
Polymorph energy (0 for the lowest one)   452 meV/atom
Magnetic moment   0.00 μB per cell

Unit cell a=3.508 b=3.508 c=18.870 alpha=90.00 beta=90.00 gamma=90.00
Space group I-42d (No. 122)
Inequivalent atoms, fractional coordinates:
1 Li 0.000 0.000 0.000 (multiplicity 4)
2 Sc 0.000 0.000 0.500 (multiplicity 4)
3 Cr 0.246 0.250 0.625 (multiplicity 8)


Record 5
Below is a relaxed Ca2ScTaN4 crystal, with properties calculated at the GGA-PBE level.

Computed properties:
Magnetic moment   0.00 μB per cell
Energy relative to the elements, uncorrected   -32.23 kcal/mol of atoms

Unit cell a=5.630 b=3.241 c=5.854 alpha=90.00 beta=108.56 gamma=90.00
Space group P2/m (No. 10)
Inequivalent atoms, fractional coordinates:
1 Ca 0.000 0.000 0.000 (multiplicity 1)
2 Ca 0.500 0.500 0.000 (multiplicity 1)
3 Sc 0.000 0.500 0.500 (multiplicity 1)
4 Ta 0.500 0.000 0.500 (multiplicity 1)
5 N 0.254 0.000 0.710 (multiplicity 2)
6 N 0.275 0.500 0.289 (multiplicity 2)


Record 6
Below is a relaxed TiAgBiB2 crystal, with properties calculated at the GGA-PBE level.

Computed properties:
ΔE_f   49.250 kcal/mol of atoms
Magnetic moment   0.19 μB per cell

Unit cell a=4.605 b=4.605 c=5.281 alpha=90.00 beta=90.00 gamma=90.00
Space group P4/mmm (No. 123)
Inequivalent atoms, fractional coordinates:
1 Ti 0.000 0.000 0.000 (multiplicity 1)
2 Ag 0.500 0.500 0.000 (multiplicity 1)
3 Bi 0.500 0.500 0.500 (multiplicity 1)
4 B 0.000 0.500 0.500 (multiplicity 2)


Record 7
Below is a relaxed Ca2Nb2Ni15 crystal, with properties calculated at the GGA-PBE level.

Computed properties:
ΔE_f   -2.863 kcal/mol of atoms
Magnetic moment   5.50 μB per cell

Unit cell a=8.4393 b=8.4393 c=12.4278 alpha=90.00 beta=90.00 gamma=120.00
Space group R-3m (No. 166, hexagonal axes)
Inequivalent atoms, fractional coordinates:
1 Ca 0.0000 0.0000 0.1487 (multiplicity 6)
2 Nb 0.0000 0.0000 0.3974 (multiplicity 6)
3 Ni 0.0000 0.2969 0.5000 (multiplicity 18)
4 Ni 0.0000 0.5000 0.0000 (multiplicity 9)
5 Ni 0.0014 0.5007 0.3443 (multiplicity 18)


Record 8
Below is a relaxed CsMg3C crystal, with properties calculated at the GGA-PBE level.

Computed properties:
ΔE_f   51.786 kcal/mol of atoms
Polymorph energy (0 for the lowest one)   1415 meV/atom
Magnetic moment   2.87 μB per cell

Unit cell a=7.596 b=7.596 c=7.596 alpha=90.00 beta=90.00 gamma=90.00
Space group Pm-3m (No. 221)
Inequivalent atoms, fractional coordinates:
1 Cs 0.000 0.000 0.000 (multiplicity 1)
2 Mg 0.000 0.000 0.500 (multiplicity 3)
3 C 0.500 0.500 0.500 (multiplicity 1)


Record 9
Below is a relaxed Pm4Tl5Hg crystal, with properties calculated at the GGA-PBE level.

Computed properties:
ΔE_f   -8.019 kcal/mol of atoms
Magnetic moment   0.00 μB per cell

Unit cell a=17.932 b=5.153 c=6.635 alpha=90.00 beta=110.31 gamma=90.00
Space group C2/m (No. 12)
Inequivalent atoms, fractional coordinates:
1 Pm 0.085 0.000 0.337 (multiplicity 4)
2 Pm 0.197 0.500 0.115 (multiplicity 4)
3 Tl 0.000 0.500 0.500 (multiplicity 2)
4 Tl 0.107 0.000 0.848 (multiplicity 4)
5 Tl 0.204 0.500 0.613 (multiplicity 4)
6 Hg 0.000 0.500 0.000 (multiplicity 2)


Record 10
Below is a relaxed ErHfAu2 crystal, with properties calculated at the GGA-PBE level.

Computed properties:
ΔE_f   -10.874 kcal/mol of atoms
Polymorph energy (0 for the lowest one)   151 meV/atom
Magnetic moment   0.00 μB per cell

Unit cell a=3.7033 b=3.7033 c=23.4469 alpha=90.00 beta=90.00 gamma=120.00
Space group R-3m (No. 166, hexagonal axes)
Inequivalent atoms, fractional coordinates:
1 Er 0.0000 0.0000 0.0000 (multiplicity 3)
2 Hf 0.0000 0.0000 0.5000 (multiplicity 3)
3 Au 0.0000 0.0000 0.2441 (multiplicity 6)


Record 11
Below is a relaxed CeSmC4 crystal, with properties calculated at the GGA-PBE level.

Computed properties:
ΔE_f   -3.324 kcal/mol of atoms
Magnetic moment   0.69 μB per cell

Unit cell a=3.780 b=3.780 c=6.364 alpha=90.00 beta=90.23 gamma=90.00
Space group P2/m (No. 10)
Inequivalent atoms, fractional coordinates:
1 Ce 0.000 0.000 0.000 (multiplicity 1)
2 Sm 0.500 0.500 0.500 (multiplicity 1)
3 C 0.000 0.000 0.398 (multiplicity 2)
4 C 0.499 0.500 0.103 (multiplicity 2)


Record 12
Below is a relaxed NaSb2Cl8 crystal, with properties calculated at the GGA-PBE level.

Computed properties:
Polymorph energy (0 for the lowest one)   24 meV/atom
Magnetic moment   0.64 μB per cell
Energy relative to the elements, uncorrected   -19.90 kcal/mol of atoms

Unit cell a=13.033 b=8.872 c=7.669 alpha=90.00 beta=108.88 gamma=90.00
Space group C2/m (No. 12)
Inequivalent atoms, fractional coordinates:
1 Na 0.000 0.000 0.000 (multiplicity 2)
2 Sb 0.134 0.000 0.623 (multiplicity 4)
3 Cl 0.096 0.212 0.798 (multiplicity 8)
4 Cl 0.179 0.500 0.214 (multiplicity 4)
5 Cl 0.181 0.000 0.322 (multiplicity 4)


- magnetic moment of number 1 (Nd4AgN)?
  0.00 μB per cell


- What is the magnetic moment in the second record?
  0.29 μB per cell